No. 1
First-principles (PBE) data for a relaxed Cs2BaNbF6 crystal, as listed in the Alexandria database.

Cell: 6.793 6.793 6.793 Å, 60.00 60.00 60.00°
Sites, in units of the cell vectors:
Cs 0.250 0.250 0.250
Cs 0.750 0.750 0.750
Ba 0.000 0.000 0.000
Nb 0.500 0.500 0.500
F 0.267 0.267 0.733
F 0.267 0.733 0.267
F 0.267 0.733 0.733
F 0.733 0.267 0.267
F 0.733 0.267 0.733
F 0.733 0.733 0.267

Output
calculated volume = 221.70 Å³ per cell
formation energy without anion corrections = -28.0 eV/f.u.
space-group type = Fm-3m (225)

No. 2
First-principles (PBE) data for a relaxed CsBaNdF6 crystal, as listed in the Alexandria database.

Cell: 8.455 8.455 8.455 Å, 119.55 119.34 90.96°
Sites, in units of the cell vectors:
Cs 0.359 0.109 0.250
Cs 0.641 0.891 0.750
Ba 0.000 0.500 0.500
Ba 0.500 0.500 0.000
Nd 0.000 0.000 0.500
Nd 0.000 0.500 0.000
F 0.054 0.339 0.160
F 0.054 0.894 0.715
F 0.079 0.329 0.750
F 0.321 0.106 0.660
F 0.321 0.661 0.215
F 0.368 0.618 0.750
F 0.632 0.382 0.250
F 0.679 0.339 0.785
F 0.679 0.894 0.340
F 0.921 0.671 0.250
F 0.946 0.106 0.285
F 0.946 0.661 0.840

Output
calculated volume = 430.88 Å³ per cell
formation energy without anion corrections = -32.7 eV/f.u.
space-group type = Imma (74)

> The lowest calculated volume belongs to which entry?

Cs2BaNbF6